Record 1
Material: ZnTeAs3
Method: DFT, PBE-GGA
State: relaxed

Structure (extended XYZ):
```
5
Lattice="4.874 0.000 0.000 0.000 4.874 0.000 0.000 0.000 4.874" Properties=species:S:1:pos:R:3 pbc="T T T"
Zn 0.000 0.000 0.000
Te 2.437 2.437 2.437
As 0.000 0.000 2.437
As 0.000 2.437 0.000
As 2.437 0.000 0.000
```

Calculated values
The value obtained for the total energy is -3.03 eV/atom. The space-group type is Pm-3m. The energy above the most stable polymorph in this dataset comes out at 0 meV per atom.

=====

Record 2
Material: ZnTeAs
Method: DFT, PBE-GGA
State: relaxed

Structure (extended XYZ):
```
3
Lattice="-1.846 1.846 5.759 1.846 -1.846 5.759 1.846 1.846 -5.759" Properties=species:S:1:pos:R:3 pbc="T T T"
Zn 0.000 0.000 0.000
Te 0.000 0.000 3.117
As 0.000 0.000 5.675
```

Calculated values
The value obtained for the total energy is -2.92 eV/atom. The space-group type is I4mm. The energy above the most stable polymorph in this dataset comes out at 54 meV per atom.

=====

Record 3
Material: Zn2TeAs2
Method: DFT, PBE-GGA
State: relaxed

Structure (extended XYZ):
```
5
Lattice="-1.904 1.904 7.178 1.904 -1.904 7.178 1.904 1.904 -7.178" Properties=species:S:1:pos:R:3 pbc="T T T"
Zn 0.000 0.000 1.364
Zn 0.000 0.000 12.992
Te 0.000 0.000 7.178
As 1.904 0.000 3.589
As 0.000 1.904 3.589
```

Calculated values
The value obtained for the total energy is -2.85 eV/atom. The space-group type is I4/mmm. The energy above the most stable polymorph in this dataset comes out at 0 meV per atom.

=====

Record 4
Material: ZnTeAs
Method: DFT, PBE-GGA
State: relaxed

Structure (extended XYZ):
```
3
Lattice="0.000 2.688 6.304 1.966 0.000 6.304 1.966 2.688 0.000" Properties=species:S:1:pos:R:3 pbc="T T T"
Zn 0.000 0.000 0.000
Te 1.966 2.688 4.217
As 1.966 2.688 7.926
```

Calculated values
The value obtained for the total energy is -2.76 eV/atom. The space-group type is Fmm2. The energy above the most stable polymorph in this dataset comes out at 215 meV per atom.

=====

Record 5
Material: Zr2TeAs2
Method: DFT, PBE-GGA
State: relaxed

Structure (extended XYZ):
```
5
Lattice="-2.534 2.534 4.415 2.534 -2.534 4.415 2.534 2.534 -4.415" Properties=species:S:1:pos:R:3 pbc="T T T"
Zr 2.534 0.000 2.208
Zr 0.000 2.534 2.208
Te 0.000 0.000 0.000
As 0.000 0.000 3.200
As 0.000 0.000 5.630
```

Calculated values
The value obtained for the total energy is -6.63 eV/atom. The space-group type is I4/mmm. The energy above the most stable polymorph in this dataset comes out at 143 meV per atom.

=====

Record 6
Material: Zr2TeAs2
Method: DFT, PBE-GGA
State: relaxed

Structure (extended XYZ):
```
10
Lattice="7.792 0.000 0.000 0.000 7.792 0.000 0.000 0.000 3.512" Properties=species:S:1:pos:R:3 pbc="T T T"
Zr 1.188 2.708 0.000
Zr 2.708 6.604 0.000
Zr 5.084 1.188 0.000
Zr 6.604 5.084 0.000
Te 0.000 0.000 0.000
Te 3.896 3.896 0.000
As 1.059 4.955 1.756
As 2.837 1.059 1.756
As 4.955 6.733 1.756
As 6.733 2.837 1.756
```

Calculated values
The value obtained for the total energy is -6.77 eV/atom. The space-group type is P4/mbm. The energy above the most stable polymorph in this dataset comes out at 0 meV per atom.

=====

Record 7
Material: ZrTe2As
Method: DFT, PBE-GGA
State: relaxed

Structure (extended XYZ):
```
4
Lattice="1.889 1.091 9.450 -1.889 1.091 9.450 0.000 -2.181 9.450" Properties=species:S:1:pos:R:3 pbc="T T T"
Zr 0.000 0.000 0.000
Te 0.000 0.000 11.355
Te 0.000 0.000 16.995
As 0.000 0.000 14.175
```

Calculated values
The value obtained for the total energy is -5.14 eV/atom. The space-group type is R-3m.

=====

Record 8
Material: ZrTe2As
Method: DFT, PBE-GGA
State: relaxed

Structure (extended XYZ):
```
4
Lattice="3.619 0.000 0.000 0.000 3.619 0.000 0.000 0.000 7.186" Properties=species:S:1:pos:R:3 pbc="T T T"
Zr 0.000 0.000 0.000
Te 1.809 1.809 1.646
Te 1.809 1.809 5.540
As 0.000 0.000 3.593
```

Calculated values
The value obtained for the total energy is -5.18 eV/atom. The space-group type is P4/mmm.

=====

Record 9
Material: ZrTe2As
Method: DFT, PBE-GGA
State: relaxed

Structure (extended XYZ):
```
4
Lattice="0.000 3.617 3.617 3.617 0.000 3.617 3.617 3.617 0.000" Properties=species:S:1:pos:R:3 pbc="T T T"
Zr 0.000 0.000 0.000
Te 3.617 3.617 3.617
Te 5.425 5.425 5.425
As 1.808 1.808 1.808
```

Calculated values
The value obtained for the total energy is -4.84 eV/atom. The space-group type is F-43m.

=====

Record 10
Material: ZrTe2As
Method: DFT, PBE-GGA
State: relaxed

Structure (extended XYZ):
```
4
Lattice="2.016 -2.562 0.000 2.016 2.562 0.000 0.000 0.000 10.089" Properties=species:S:1:pos:R:3 pbc="T T T"
Zr 0.000 0.000 0.000
Te 2.016 0.000 2.123
Te 2.016 0.000 7.966
As 0.000 0.000 5.045
```

Calculated values
The value obtained for the total energy is -4.86 eV/atom. The space-group type is Cmmm.

=====

Record 11
Material: ZrTe2As
Method: DFT, PBE-GGA
State: relaxed

Structure (extended XYZ):
```
4
Lattice="4.655 -1.900 0.000 4.655 1.900 0.000 -0.642 0.000 6.520" Properties=species:S:1:pos:R:3 pbc="T T T"
Zr 0.000 0.000 0.000
Te 2.450 0.000 4.727
Te 4.599 0.000 2.244
As 6.592 0.000 0.362
```

Calculated values
The value obtained for the total energy is -5.36 eV/atom. The space-group type is Cm.

=====

Record 12
Material: Zr2TeAs2
Method: DFT, PBE-GGA
State: relaxed

Structure (extended XYZ):
```
10
Lattice="7.793 0.000 0.000 0.000 7.793 0.000 0.000 0.000 3.480" Properties=species:S:1:pos:R:3 pbc="T T T"
Zr 1.250 2.647 0.000
Zr 2.647 6.544 0.000
Zr 5.146 1.250 0.000
Zr 6.544 5.146 0.000
Te 0.000 0.000 1.740
Te 3.897 3.897 1.740
As 1.021 4.917 1.740
As 2.876 1.021 1.740
As 4.917 6.773 1.740
As 6.773 2.876 1.740
```

Calculated values
The value obtained for the total energy is -6.49 eV/atom. The space-group type is P4/mbm. The energy above the most stable polymorph in this dataset comes out at 282 meV per atom.